! AlTlCl2 PBE relaxed; values from VASP
&SYSTEM
  ibrav = 0, nat = 4, ntyp = 3
/
ATOMIC_SPECIES
Tl 204.38 Tl.upf
Al 26.98 Al.upf
Cl 35.45 Cl.upf
CELL_PARAMETERS angstrom
5.2420 0.0000 0.0000
2.6210 4.5397 0.0000
2.6210 1.5132 4.2801
ATOMIC_POSITIONS crystal
Tl 0.2500 0.2500 0.2500
Al 0.5000 0.5000 0.5000
Cl 0.7500 0.7500 0.7500
Cl 0.0000 0.0000 0.0000
! M_tot	0.0	μB/f.u.
! SG	No. 216
! DOS(E_F)	0.0	states/eV/f.u.
! mass density	4.9	g/cm³
! offset from the most stable computed form	0.4695	eV per atom